[1]
Below is UNb2FeC4 after structural relaxation, with properties calculated at the PBE level.

```
data_UNb2FeC4
_chemical_formula_sum 'U2 Nb4 Fe2 C8'
_cell_length_a 3.1979
_cell_length_b 5.6898
_cell_length_c 10.7308
_cell_angle_alpha 90.00
_cell_angle_beta 90.00
_cell_angle_gamma 106.32
_symmetry_space_group_name_H-M 'P 1'
_symmetry_Int_Tables_number 1
loop_
_symmetry_equiv_pos_as_xyz
'x,y,z'
loop_
_atom_site_label
_atom_site_type_symbol
_atom_site_fract_x
_atom_site_fract_y
_atom_site_fract_z
_atom_site_occupancy
U1 U 0.1028 0.2056 0.7500 1
U2 U 0.8972 0.7944 0.2500 1
Nb1 Nb 0.3694 0.7389 0.5470 1
Nb2 Nb 0.6306 0.2611 0.0470 1
Nb3 Nb 0.6306 0.2611 0.4530 1
Nb4 Nb 0.3694 0.7389 0.9530 1
Fe1 Fe 0.8445 0.6890 0.7500 1
Fe2 Fe 0.1555 0.3110 0.2500 1
C1 C 0.2715 0.5429 0.1253 1
C2 C 0.7285 0.4571 0.6253 1
C3 C 0.7285 0.4571 0.8747 1
C4 C 0.2715 0.5429 0.3747 1
C5 C 0.0000 0.0000 0.5000 1
C6 C 0.0000 0.0000 0.0000 1
C7 C 0.4391 0.8783 0.7500 1
C8 C 0.5609 0.1217 0.2500 1
```

Calculated values
Fermi-level density of states = 9.744 states/eV per cell
ΔE_f = -0.283 eV per atom
Electronic total energy = -9.8808 eV/atom
Symmetry = No. 63

=====

[2]
Below is K2YMg after structural relaxation, with properties calculated at the PBE level.

```
data_K2YMg
_chemical_formula_sum 'K2 Y1 Mg1'
_cell_length_a 6.9149
_cell_length_b 3.6061
_cell_length_c 6.3788
_cell_angle_alpha 86.96
_cell_angle_beta 90.00
_cell_angle_gamma 90.00
_symmetry_space_group_name_H-M 'P 1'
_symmetry_Int_Tables_number 1
loop_
_symmetry_equiv_pos_as_xyz
'x,y,z'
loop_
_atom_site_label
_atom_site_type_symbol
_atom_site_fract_x
_atom_site_fract_y
_atom_site_fract_z
_atom_site_occupancy
K1 K 0.0000 0.0130 0.0075 1
K2 K 0.0000 0.4870 0.4925 1
Mg1 Mg 0.5000 0.2500 0.2500 1
Y1 Y 0.5000 0.7500 0.7500 1
```

Calculated values
Fermi-level density of states = 3.985 states/eV per cell
ΔE_f = 0.402 eV per atom
Electronic total energy = -2.1615 eV/atom
Symmetry = No. 10

=====

[3]
Below is MnReAs2 after structural relaxation, with properties calculated at the PBE level.

```
data_MnReAs2
_chemical_formula_sum 'Mn2 Re2 As4'
_cell_length_a 5.5316
_cell_length_b 5.5316
_cell_length_c 6.5725
_cell_angle_alpha 65.11
_cell_angle_beta 65.11
_cell_angle_gamma 90.00
_symmetry_space_group_name_H-M 'P 1'
_symmetry_Int_Tables_number 1
loop_
_symmetry_equiv_pos_as_xyz
'x,y,z'
loop_
_atom_site_label
_atom_site_type_symbol
_atom_site_fract_x
_atom_site_fract_y
_atom_site_fract_z
_atom_site_occupancy
Re1 Re 0.0000 0.0000 0.0000 1
Re2 Re 0.7500 0.2500 0.5000 1
As1 As 0.6105 0.1250 0.2500 1
As2 As 0.1395 0.6250 0.2500 1
As3 As 0.3750 0.3895 0.7500 1
As4 As 0.8750 0.8605 0.7500 1
Mn1 Mn 0.5000 0.5000 0.0000 1
Mn2 Mn 0.2500 0.7500 0.5000 1
```

Calculated values
Fermi-level density of states = 4.303 states/eV per cell
Relative energy among the computed polymorphs = 630.8 meV per atom
ΔE_f = 0.687 eV per atom
Electronic total energy = -7.0425 eV/atom
Symmetry = No. 122

=====

[4]
Below is La7PrCd2 after structural relaxation, with properties calculated at the PBE level.

```
data_La7PrCd2
_chemical_formula_sum 'La7 Pr1 Cd2'
_cell_length_a 5.5573
_cell_length_b 9.3598
_cell_length_c 9.3599
_cell_angle_alpha 120.79
_cell_angle_beta 90.00
_cell_angle_gamma 90.00
_symmetry_space_group_name_H-M 'P 1'
_symmetry_Int_Tables_number 1
loop_
_symmetry_equiv_pos_as_xyz
'x,y,z'
loop_
_atom_site_label
_atom_site_type_symbol
_atom_site_fract_x
_atom_site_fract_y
_atom_site_fract_z
_atom_site_occupancy
La1 La 0.0000 0.7714 0.2286 1
La2 La 0.0000 0.2286 0.7714 1
La3 La 0.5000 0.0589 0.2978 1
La4 La 0.5000 0.9411 0.7022 1
La5 La 0.5000 0.2978 0.0589 1
La6 La 0.5000 0.7022 0.9411 1
La7 La 0.5000 0.5000 0.5000 1
Pr1 Pr 0.0000 0.0000 0.0000 1
Cd1 Cd 0.5000 0.6957 0.3043 1
Cd2 Cd 0.5000 0.3043 0.6957 1
```

Calculated values
Fermi-level density of states = 17.444 states/eV per cell
ΔE_f = 0.314 eV per atom
Electronic total energy = -3.7967 eV/atom
Symmetry = No. 65

=====

| no. | calculated volume (Å³ per atom) |
| --- | --- |
| 1 | 11.71 |
| 2 | 39.71 |
| 3 | 20.20 |
| 4 | 41.82 |